Below is a relaxed SrBeOF2 crystal, with properties calculated at the PBE level.

```
5
Lattice="-0.414 3.676 -1.243 -3.744 -0.049 1.101 0.905 1.161 3.129" Properties=species:S:1:pos:R:3 pbc="T T T"
Sr -1.626 2.394 1.494
Be 0.000 0.000 0.000
O 0.453 0.580 1.565
F -1.872 -0.024 0.551
F -0.207 1.838 -0.622
```

Values from the calculation:
The energy is -5.81 eV per atom. As for the magnetic moment: 0.0 μB per formula unit. For the energy relative to the elements, uncorrected, the calculation gives -14.957 eV/f.u. Its density is 4.749 Mg/m³. For the relative energy among the computed polymorphs, the calculation gives 0.0 meV per atom. As for the space group: P4/mmm.